Below is a geometry-optimized In3BF6 structure, with properties calculated at the PBE-GGA level.

```
20
Lattice="5.785 0.000 0.000 0.000 8.493 -3.830 0.000 -1.825 9.137" Properties=species:S:1:pos:R:3 pbc="T T T"
In 2.883 6.153 2.455
In 5.776 3.775 5.445
In 2.879 2.426 3.795
In 5.772 4.243 1.511
In 5.776 0.516 2.851
In 2.883 2.894 -0.138
B 5.779 -0.326 7.253
B 2.887 6.995 -1.947
F 1.434 4.425 3.516
F 4.326 4.420 3.522
F 5.782 1.077 7.359
F 2.889 7.413 -0.604
F 1.157 -0.850 7.912
F 4.613 -0.846 7.908
F 1.720 7.515 -2.601
F 4.050 7.519 -2.606
F 5.782 -0.744 5.910
F 2.889 5.592 -2.053
F 1.434 2.249 1.785
F 4.326 2.244 1.790
```

Results
The symmetry is No. 36. The value obtained for the formation energy (no corrections) is -2.18 eV per atom.